Entry 1:
# MnB2H

MnB2H at its PBEsol-relaxed geometry (meta-GGA SCAN, the Alexandria database).

Total energy ... -8.076 eV/atom
Symmetry ... Fm-3m, No. 225

Lattice parameters (Å, degrees): 3.3483 3.3483 3.3483 60.00 60.00 60.00
Each line ends with the local moment (μB).
Element x y z (fractional)
H  0.0000  0.0000  0.0000  -0.02
Mn  0.5000  0.5000  0.5000  1.72
B  0.7500  0.7500  0.7500  -0.09
B  0.2500  0.2500  0.2500  -0.09

Entry 2:
# Mn2BHN

Mn2BHN at its PBEsol-relaxed geometry (meta-GGA SCAN, the Alexandria database).

Total energy ... -11.022 eV/atom
Symmetry ... P4/mmm, No. 123

Lattice parameters (Å, degrees): 2.8300 3.8926 3.8926 90.00 90.00 90.00
Each line ends with the local moment (μB).
Element x y z (fractional)
Mn  0.0000  0.5000  0.0000  3.11
Mn  0.0000  0.0000  0.5000  3.11
B  0.5000  0.0000  0.0000  -0.12
N  0.0000  0.0000  0.0000  -0.05
H  0.5000  0.5000  0.5000  -0.03

Entry 3:
# ReBMo2H

ReBMo2H at its PBEsol-relaxed geometry (meta-GGA SCAN, the Alexandria database).

Total energy ... -29.138 eV/atom
Symmetry ... P4/mmm, No. 123

Lattice parameters (Å, degrees): 3.9870 4.1183 4.1183 90.00 90.00 90.00
Element x y z (fractional)
H  0.5000  0.5000  0.5000
Mo  0.0000  0.5000  0.0000
Mo  0.0000  0.0000  0.5000
Re  0.5000  0.0000  0.0000
B  0.0000  0.0000  0.0000

Entry 4:
# VBP2H5NO9

VBP2H5NO9 at its PBEsol-relaxed geometry (meta-GGA SCAN, the Alexandria database).

Total energy ... -8.685 eV/atom
Symmetry ... P2_1/c, No. 14

Lattice parameters (Å, degrees): 8.2584 9.4809 9.7326 104.03 90.00 90.00
Each line ends with the local moment (μB).
Element x y z (fractional)
O  0.7804  0.3599  0.0706  -0.01
O  0.7813  0.5904  0.2651  0.00
O  0.7187  0.5904  0.7651  0.00
O  0.4129  0.1866  0.2152  0.00
O  0.8511  0.1164  0.8469  0.00
O  0.8362  0.0815  0.5760  0.01
O  0.3655  0.6454  0.1805  0.01
O  0.5871  0.8134  0.7848  0.00
O  0.9288  0.4096  0.7692  0.00
O  0.6345  0.3546  0.8194  0.01
O  0.4834  0.9259  0.1957  -0.01
O  0.5480  0.6883  0.9646  -0.01
O  0.2187  0.4096  0.7349  0.00
O  0.0166  0.9259  0.6957  -0.01
O  0.0480  0.3117  0.5354  -0.01
O  0.6489  0.1164  0.3469  0.00
O  0.0712  0.5904  0.2308  0.00
O  0.2196  0.6401  0.9294  -0.01
O  0.2804  0.6401  0.4294  -0.01
O  0.1489  0.8836  0.1531  0.00
O  0.5166  0.0741  0.8043  -0.01
O  0.9834  0.0741  0.3043  -0.01
O  0.3362  0.9185  0.9240  0.01
O  0.7196  0.3599  0.5706  -0.01
O  0.9520  0.6883  0.4646  -0.01
O  0.1638  0.9185  0.4240  0.01
O  0.6638  0.0815  0.0760  0.01
O  0.5712  0.4096  0.2692  0.00
O  0.8655  0.3546  0.3194  0.01
O  0.4520  0.3117  0.0354  -0.01
O  0.4288  0.5904  0.7308  0.00
O  0.3511  0.8836  0.6531  0.00
O  0.2813  0.4096  0.2349  0.00
O  0.1345  0.6454  0.6806  0.01
O  0.9129  0.8134  0.2848  0.00
O  0.0871  0.1866  0.7152  0.00
B  0.5672  0.6684  0.8094  0.00
B  0.4328  0.3316  0.1906  0.00
B  0.9328  0.6684  0.3094  0.00
B  0.0672  0.3316  0.6906  0.00
N  0.9078  0.8330  0.9317  0.00
N  0.0922  0.1670  0.0683  0.00
N  0.5922  0.8330  0.4317  0.00
N  0.4078  0.1670  0.5683  0.00
P  0.0579  0.9236  0.2955  0.01
P  0.2474  0.5786  0.7713  0.01
P  0.7526  0.4214  0.2287  0.01
P  0.2526  0.5786  0.2713  0.01
P  0.7474  0.4214  0.7287  0.01
P  0.5579  0.0764  0.2045  0.01
P  0.4421  0.9236  0.7955  0.01
P  0.9421  0.0764  0.7045  0.01
H  0.5435  0.8673  0.3451  0.00
H  0.0435  0.1327  0.1549  0.00
H  0.8147  0.9033  0.9756  0.00
H  0.5830  0.6047  0.9996  0.00
H  0.3613  0.2703  0.6082  0.00
H  0.0023  0.1676  0.9928  0.00
H  0.9977  0.8324  0.0072  0.00
H  0.1387  0.2703  0.1082  0.00
H  0.4977  0.1676  0.4928  0.00
H  0.6387  0.7297  0.3918  0.00
H  0.9170  0.6047  0.4996  0.00
H  0.0830  0.3953  0.5004  0.00
H  0.1853  0.0967  0.0244  0.00
H  0.4565  0.1327  0.6549  0.00
H  0.4170  0.3953  0.0004  0.00
H  0.3147  0.0967  0.5244  0.00
H  0.6853  0.9033  0.4756  0.00
H  0.8613  0.7297  0.8918  0.00
H  0.5023  0.8324  0.5072  0.00
H  0.9565  0.8673  0.8451  0.00
V  0.6540  0.2118  0.9379  1.86
V  0.1540  0.7882  0.5621  1.86
V  0.8460  0.2118  0.4379  1.86
V  0.3460  0.7882  0.0621  1.86